Entry 1:
Compound: KLi3U2Se6
Source: Alexandria via LeMat-Bulk
Functional: GGA-PBE
Structure: optimized geometry

It has space group C2/m (No. 12), with a = 16.751 Å, b = 4.143 Å, c = 9.501 Å, α = 90.00°, β = 99.67° and γ = 90.00°. The asymmetric unit holds K at (0.000, 0.000, 0.000), Li at (0.000, 0.000, 0.500), Li at (0.153, 0.500, 0.729), U at (0.165, 0.500, 0.337), Se at (0.001, 0.500, 0.281), Se at (0.163, 0.000, 0.552) and Se at (0.194, 0.000, 0.153).

The value obtained for the total energy is -5.386 eV per atom. The value obtained for the uncorrected formation energy is -1.19 eV/atom. As for the density of states at the Fermi level: 1.11 states/eV per atom.

=====

Entry 2:
Compound: Y2MgSb
Source: Alexandria via LeMat-Bulk
Functional: GGA-PBE
Structure: optimized geometry

It has space group Immm (No. 71), with a = 4.736 Å, b = 4.747 Å, c = 9.427 Å, α = 90.00°, β = 90.00° and γ = 90.00°. The asymmetric unit holds Y at (0.000, 0.000, 0.250), Mg at (0.000, 0.500, 0.000) and Sb at (0.000, 0.500, 0.500).

The value obtained for the total energy is -5.151 eV per atom. The value obtained for the uncorrected formation energy is -0.49 eV/atom. As for the density of states at the Fermi level: 0.75 states/eV per atom. The value obtained for the offset from the most stable computed form is 10.1 kJ per mole of atoms.

=====

Entry 3:
Compound: BHCl4
Source: Alexandria via LeMat-Bulk
Functional: GGA-PBE
Structure: optimized geometry

It has space group P2_1/m (No. 11), with a = 4.324 Å, b = 9.586 Å, c = 9.211 Å, α = 90.00°, β = 90.18° and γ = 90.00°. The asymmetric unit holds B at (0.000, 0.250, 0.184), H at (0.327, 0.250, 0.520), Cl at (0.094, 0.093, 0.269), Cl at (0.186, 0.750, 0.984) and Cl at (0.466, 0.750, 0.379).

The value obtained for the total energy is -3.711 eV per atom. As for the density of states at the Fermi level: 0.00 states/eV per atom.

=====

Entry 4:
Compound: LiLuAu
Source: Alexandria via LeMat-Bulk
Functional: GGA-PBE
Structure: optimized geometry

It has space group P-6m2 (No. 187), with a = 4.4450 Å, b = 4.4450 Å, c = 3.5274 Å, α = 90.00°, β = 90.00° and γ = 120.00°. The asymmetric unit holds Li at (0.0000, 0.0000, 0.0000), Lu at (0.6667, 0.3333, 0.5000) and Au at (0.3333, 0.6667, 0.0000).

The value obtained for the total energy is -3.747 eV per atom. For the formation enthalpy at 0 K, the calculation gives -49.1 kJ/mol of atoms. As for the density of states at the Fermi level: 0.75 states/eV per atom. The value obtained for the offset from the most stable computed form is 5.1 kJ per mole of atoms.

=====

Entry 5:
Compound: LiCaNdZn
Source: Alexandria via LeMat-Bulk
Functional: GGA-PBE
Structure: optimized geometry

It has space group P4mm (No. 99), with a = 3.766 Å, b = 3.766 Å, c = 7.621 Å, α = 90.00°, β = 90.00° and γ = 90.00°. The asymmetric unit holds Li at (0.000, 0.000, 0.000), Ca at (0.500, 0.500, 0.727), Nd at (0.500, 0.500, 0.267) and Zn at (0.000, 0.000, 0.484).

The value obtained for the total energy is -2.608 eV per atom. For the formation enthalpy at 0 K, the calculation gives -11.4 kJ/mol of atoms. As for the density of states at the Fermi level: 0.98 states/eV per atom. The value obtained for the offset from the most stable computed form is 0.0 kJ per mole of atoms.

=====

Entry 6:
Compound: PmPaIn2O8
Source: Alexandria via LeMat-Bulk
Functional: GGA-PBE
Structure: optimized geometry

It has space group I-4m2 (No. 119), with a = 7.056 Å, b = 7.056 Å, c = 7.457 Å, α = 90.00°, β = 90.00° and γ = 90.00°. The asymmetric unit holds Pm at (0.000, 0.000, 0.000), Pa at (0.000, 0.500, 0.750), In at (0.000, 0.000, 0.500), In at (0.000, 0.500, 0.250), O at (0.000, 0.193, 0.708) and O at (0.000, 0.327, 0.030).

The value obtained for the total energy is -7.069 eV per atom. The value obtained for the uncorrected formation energy is -2.12 eV/atom. As for the density of states at the Fermi level: 0.73 states/eV per atom.

=====

Entry 7:
Compound: Zr6IBr12
Source: Alexandria via LeMat-Bulk
Functional: GGA-PBE
Structure: optimized geometry

It has space group R-3m (No. 166, hexagonal axes), with a = 13.1778 Å, b = 13.1778 Å, c = 13.2591 Å, α = 90.00°, β = 90.00° and γ = 120.00°. The asymmetric unit holds Zr at (0.0774, 0.1547, 0.2787), I at (0.0000, 0.0000, 0.5000), Br at (0.0000, 0.3659, 0.0000) and Br at (0.0908, 0.1816, 0.8581).

The value obtained for the total energy is -4.793 eV per atom. The value obtained for the uncorrected formation energy is -0.96 eV/atom. As for the density of states at the Fermi level: 0.35 states/eV per atom.

=====

Entry 8:
Compound: TiTl2Pd8
Source: Alexandria via LeMat-Bulk
Functional: GGA-PBE
Structure: optimized geometry

It has space group C2/m (No. 12), with a = 7.130 Å, b = 13.435 Å, c = 4.481 Å, α = 90.00°, β = 113.07° and γ = 90.00°. The asymmetric unit holds Ti at (0.000, 0.000, 0.000), Tl at (0.000, 0.302, 0.500), Pd at (0.000, 0.187, 0.000), Pd at (0.115, 0.500, 0.810) and Pd at (0.204, 0.101, 0.619).

The value obtained for the total energy is -5.101 eV per atom. For the formation enthalpy at 0 K, the calculation gives -17.0 kJ/mol of atoms. As for the density of states at the Fermi level: 0.46 states/eV per atom.

=====

Entry 9:
Compound: Nd6DySc3
Source: Alexandria via LeMat-Bulk
Functional: GGA-PBE
Structure: optimized geometry

It has space group R3 (No. 146, hexagonal axes), with a = 9.7720 Å, b = 9.7720 Å, c = 11.6615 Å, α = 90.00°, β = 90.00° and γ = 120.00°. The asymmetric unit holds Nd at (0.0001, 0.3374, 0.0000), Nd at (0.0000, 0.6661, 0.5000), Dy at (0.0000, 0.0000, 0.9994), Sc at (0.0000, 0.0000, 0.2571), Sc at (0.0000, 0.0000, 0.4993) and Sc at (0.0000, 0.0000, 0.7415).

The value obtained for the total energy is -5.044 eV per atom. For the formation enthalpy at 0 K, the calculation gives 17.0 kJ/mol of atoms. As for the density of states at the Fermi level: 1.88 states/eV per atom.

=====

Entry 10:
Compound: Sn4GeS5
Source: Alexandria via LeMat-Bulk
Functional: GGA-PBE
Structure: optimized geometry

It has space group I4 (No. 79), with a = 9.130 Å, b = 9.130 Å, c = 5.833 Å, α = 90.00°, β = 90.00° and γ = 90.00°. The asymmetric unit holds Sn at (0.103, 0.300, 0.000), Ge at (0.000, 0.000, 0.479), S at (0.000, 0.000, 0.056) and S at (0.100, 0.289, 0.523).

The value obtained for the total energy is -4.484 eV per atom. The value obtained for the uncorrected formation energy is -0.36 eV/atom.

=====

Entry 11:
Compound: Tl5Sb2Cl12
Source: Alexandria via LeMat-Bulk
Functional: GGA-PBE
Structure: optimized geometry

It has space group C2/m (No. 12), with a = 17.191 Å, b = 8.056 Å, c = 9.970 Å, α = 90.00°, β = 109.40° and γ = 90.00°. The asymmetric unit holds Tl at (0.000, 0.000, 0.000), Tl at (0.188, 0.500, 0.310), Tl at (0.217, 0.500, 0.880), Sb at (0.000, 0.251, 0.500), Cl at (0.002, 0.000, 0.686), Cl at (0.005, 0.500, 0.688), Cl at (0.130, 0.238, 0.056) and Cl at (0.161, 0.263, 0.584).

The value obtained for the total energy is -3.102 eV per atom. The value obtained for the uncorrected formation energy is -0.88 eV/atom. As for the density of states at the Fermi level: 0.32 states/eV per atom.